5
Lattice="3.748 0.000 0.000 0.000 3.748 0.000 0.000 0.000 4.737" Properties=species:S:1:pos:R:3 comment="YMnSN2 (PBE, relaxed)" n_ef_per_ev_atom=0.4809 polymorph_energy_mev_per_atom=0.0 formation_energy_uncorrected_ev_per_atom=-0.40 pbc="T T T"
Y 0.000 0.000 0.000
Mn 1.874 1.874 2.368
S 1.874 1.874 0.000
N 0.000 1.874 2.368
N 1.874 0.000 2.368

=====

12
Lattice="6.841 0.000 0.000 0.000 8.839 0.000 -0.503 0.000 7.148" Properties=species:S:1:pos:R:3 comment="Na2PuUBr8 (PBE, relaxed)" n_ef_per_ev_atom=1.9174 formation_energy_uncorrected_ev_per_atom=-1.44 pbc="T T T"
Na 0.000 2.174 0.000
Na 0.000 6.665 0.000
Pu 3.169 0.000 3.574
U 3.169 4.420 3.574
Br 1.492 0.000 1.249
Br 1.540 4.420 1.251
Br 1.589 2.271 4.705
Br 1.589 6.568 4.705
Br 4.749 2.271 2.443
Br 4.749 6.568 2.443
Br 4.797 4.420 5.897
Br 4.846 0.000 5.899

=====

18
Lattice="-4.673 4.821 5.167 4.673 -4.821 5.167 4.673 4.821 -5.167" Properties=species:S:1:pos:R:3 comment="Ho6TlRh2 (PBE, relaxed)" n_ef_per_ev_atom=0.8919 pbc="T T T"
Ho 4.673 2.852 -2.714
Ho 2.699 1.756 0.000
Ho 6.647 1.756 0.000
Ho 1.806 4.821 -1.767
Ho 2.867 0.000 3.400
Ho 0.000 1.969 2.453
Ho 4.673 2.852 2.714
Ho 1.806 4.821 1.767
Ho 2.867 0.000 6.934
Ho -1.974 3.065 5.167
Ho 1.974 3.065 5.167
Ho 0.000 1.969 7.881
Tl 0.000 0.000 0.000
Tl 0.000 0.000 5.167
Rh 4.673 0.000 1.371
Rh 0.000 3.252 0.000
Rh 0.000 6.390 0.000
Rh 0.000 4.821 3.796

=====

Results for magnetic moment: 0.1, 2.7, 0.0 (in μB/cell, following the order of the records).
Results for final energy: -38.4, -58.9, -49.6 (in eV per formula unit, following the order of the records).